Record 1
The following is a DFT calculation (meta-GGA SCAN) of ZnHgAs at its PBEsol-relaxed geometry.

Results
- Energy relative to the elements: 0.3 eV per formula unit
- Spin magnetization: 0.00 μB per formula unit
- D(E_F): 0.357 states/eV per atom
- Space group: P3m1

Unit cell a=4.059 b=4.059 c=4.258 alpha=90.00 beta=90.00 gamma=120.00
Sites, in units of the cell vectors:
Hg  0.667  0.333  0.657
Zn  0.333  0.667  0.267
As  0.000  0.000  0.075


Record 2
The following is a DFT calculation (meta-GGA SCAN) of TlSbPb2 at its PBEsol-relaxed geometry.

Results
- E_form (uncorrected): 0.2 eV per formula unit
- Spin magnetization: 0.00 μB per formula unit
- D(E_F): 0.467 states/eV per atom
- Space group: Pmm2

Unit cell a=3.416 b=4.888 c=6.878 alpha=90.00 beta=90.00 gamma=90.00
Sites, in units of the cell vectors:
Tl  0.500  0.500  0.746
Pb  0.500  0.500  0.258
Pb  0.000  0.000  0.001
Sb  0.000  0.000  0.494


Record 3
The following is a DFT calculation (meta-GGA SCAN) of Cu2SO4 at its PBEsol-relaxed geometry.

Results
- E_form (uncorrected): -7.3 eV per formula unit
- Spin magnetization: 0.00 μB per formula unit
- D(E_F): 0.000 states/eV per atom
- Space group: Fddd

Unit cell a=4.345 b=5.837 c=7.616 alpha=83.90 beta=73.42 gamma=68.15
Sites, in units of the cell vectors:
Cu  0.946  0.500  0.108
O  0.038  0.657  0.379
O  0.676  0.157  0.879
Cu  0.196  0.000  0.608
O  0.167  0.157  0.121
O  0.305  0.657  0.621
S  0.250  0.500  0.500
O  0.583  0.343  0.379
Cu  0.804  0.000  0.392
S  0.500  0.000  0.000
Cu  0.554  0.500  0.892
O  0.712  0.843  0.121
O  0.074  0.343  0.621
O  0.445  0.843  0.879


Record 4
The following is a DFT calculation (meta-GGA SCAN) of ZnCuPt2 at its PBEsol-relaxed geometry.

Results
- Energy relative to the elements: -1.2 eV per formula unit
- Spin magnetization: 0.00 μB per formula unit
- D(E_F): 0.419 states/eV per atom
- Space group: Pm

Unit cell a=2.721 b=4.068 c=5.110 alpha=90.00 beta=105.21 gamma=90.00
Sites, in units of the cell vectors:
Pt  0.918  0.000  0.962
Cu  0.322  0.500  0.765
Zn  0.180  0.000  0.488
Pt  0.580  0.500  0.285